Entry from OQMD: a relaxed HoAs2Pt8 crystal (PBE).

Calculated values
Energy   -6.1288 eV per atom
V   17.1 A^3/atom

Lattice parameters (Å, degrees): 6.4206 6.4206 9.5674 125.32 125.32 36.99
Closest atoms and distances in Å follow each position.
Positions (direct):
Pt (0.7722, 0.7722, 0.8979)  1 As 2.33
Pt (0.4656, 0.4656, 0.6167)  2 As 2.46
Pt (0.5344, 0.5344, 0.3833)  2 As 2.46
Pt (0.2278, 0.2278, 0.1021)  1 As 2.33
Pt (0.8245, 0.8245, 0.6549)  1 As 2.41
Pt (0.1735, 0.1735, 0.6448)  1 As 2.43, 2 Pt 2.71
Pt (0.8265, 0.8265, 0.3552)  1 As 2.43, 2 Pt 2.71
Pt (0.1755, 0.1755, 0.3451)  1 As 2.41
As (0.9306, 0.9306, 0.2044)  5 Pt 2.33-2.46
As (0.0694, 0.0694, 0.7956)  5 Pt 2.33-2.46
Ho (0.5000, 0.5000, 0.0000)  12 Pt 3.08-3.43, 4 As 3.27

Entry from OQMD: a relaxed LaLuBeNi crystal (PBE).

Calculated values
V   20.5 A^3/atom
Energy above the lowest structure with this stoichiometry   0 meV/atom

Lattice parameters (Å, degrees): 4.8748 4.8748 4.8748 60.00 60.00 60.00
Closest atoms and distances in Å follow each position.
Positions (direct):
La (0.5000, 0.5000, 0.5000)  4 Ni 2.99, 4 Be 2.99
Lu (0.0000, 0.0000, 0.0000)  4 Be 2.99, 4 Ni 2.99
Be (0.7500, 0.7500, 0.7500)  4 Lu 2.99, 4 La 2.99
Ni (0.2500, 0.2500, 0.2500)  4 La 2.99, 4 Lu 2.99

Entry from OQMD: a relaxed PmNd3As4 crystal (PBE).

Calculated values
Energy   -6.2224 eV per atom
V   27.3 A^3/atom

Lattice parameters (Å, degrees): 7.3772 7.3772 4.2619 90.00 90.00 109.48
Closest atoms and distances in Å follow each position.
Positions (direct):
Pm (0.0000, 0.0000, 0.5000)  6 As 3.00
As (0.7507, 0.2493, 0.5000)  1 Pm 3.00, 5 Nd 3.01-3.02
As (0.7513, 0.7513, 0.0000)  2 Pm 3.00, 4 Nd 3.01-3.02
As (0.2493, 0.7507, 0.5000)  1 Pm 3.00, 5 Nd 3.01-3.02
As (0.2487, 0.2487, 0.0000)  2 Pm 3.00, 4 Nd 3.01-3.02
Nd (0.5000, 0.0000, 0.0000)  6 As 3.01
Nd (0.5000, 0.5000, 0.5000)  6 As 3.02
Nd (0.0000, 0.5000, 0.0000)  6 As 3.01

Entry from OQMD: a relaxed TePd crystal (PBE).

Calculated values
Energy   -4.2901 eV per atom
V   21.7 A^3/atom

Lattice parameters (Å, degrees): 3.6509 3.6509 3.7548 90.00 90.00 120.00
Closest atoms and distances in Å follow each position.
Positions (direct):
Pd (0.6667, 0.3333, 0.7500)  6 Te 2.82
Te (0.3333, 0.6667, 0.2500)  6 Pd 2.82

Entry from OQMD: a relaxed Hf8Sb2C3N3 crystal (PBE).

Calculated values
Energy   -9.8782 eV per atom
V   14.5 A^3/atom

Lattice parameters (Å, degrees): 3.3055 3.3055 24.4704 90.00 90.00 120.00
Closest atoms and distances in Å follow each position.
Positions (direct):
N (0.3333, 0.6667, 0.1037)  6 Hf 2.26-2.28
N (0.0000, 0.0000, 0.0000)  6 Hf 2.32
N (0.6667, 0.3333, 0.8963)  6 Hf 2.26-2.28
Hf (0.6667, 0.3333, 0.4471)  6 C 2.31-2.38
Hf (0.0000, 0.0000, 0.8455)  3 N 2.28
Hf (0.6667, 0.3333, 0.0541)  6 N 2.26-2.32
Hf (0.3333, 0.6667, 0.5529)  6 C 2.31-2.38
Hf (0.0000, 0.0000, 0.3418)  3 C 2.23
Hf (0.0000, 0.0000, 0.1545)  3 N 2.28
Hf (0.3333, 0.6667, 0.9459)  6 N 2.26-2.32
Hf (0.0000, 0.0000, 0.6582)  3 C 2.23
C (0.6667, 0.3333, 0.6107)  6 Hf 2.23-2.38
C (0.3333, 0.6667, 0.3893)  6 Hf 2.23-2.38
C (0.0000, 0.0000, 0.5000)  6 Hf 2.31
Sb (0.3333, 0.6667, 0.7523)  6 Hf 2.97-2.99, 6 Sb 3.31
Sb (0.6667, 0.3333, 0.2477)  6 Hf 2.97-2.99, 6 Sb 3.31

Entry from OQMD: a relaxed SbIrPt2 crystal (PBE).

Calculated values
Energy   -6.2002 eV per atom
V   16.8 A^3/atom

Lattice parameters (Å, degrees): 4.5610 4.5610 4.5610 60.00 60.00 60.00
Closest atoms and distances in Å follow each position.
Positions (direct):
Ir (0.2500, 0.2500, 0.2500)  4 Sb 2.79, 4 Pt 2.79
Pt (0.7500, 0.7500, 0.7500)  4 Pt 2.79, 4 Sb 2.79
Pt (0.0000, 0.0000, 0.0000)  4 Pt 2.79, 4 Ir 2.79
Sb (0.5000, 0.5000, 0.5000)  4 Ir 2.79, 4 Pt 2.79